Crystalline Sr2ZrP at its relaxed geometry. Source: Alexandria, functional PBE.

POSCAR file:
```
Sr2ZrP
1.0
4.8660 0.0000 0.0000
0.0000 4.8660 0.0000
0.0000 0.0000 4.7064
Sr P Zr
2 1 1
direct
0.0000 0.5000 0.0000 Sr
0.5000 0.0000 0.0000 Sr
0.0000 0.0000 0.5000 P
0.5000 0.5000 0.5000 Zr
```

* DFT total energy: -0.1537 Ha/atom
* SG: P4/mmm



Crystalline SrZr3P at its relaxed geometry. Source: Alexandria, functional PBE.

POSCAR file:
```
SrZr3P
1.0
5.0842 0.0000 0.0000
0.0000 5.0842 0.0000
0.0000 0.0000 5.0842
P Sr Zr
1 1 3
direct
0.0000 0.0000 0.0000 P
0.5000 0.5000 0.5000 Sr
0.0000 0.5000 0.0000 Zr
0.5000 0.0000 0.0000 Zr
0.0000 0.0000 0.5000 Zr
```

* DFT total energy: -0.2474 Ha/atom
* SG: Pm-3m



Crystalline Ta3P at its relaxed geometry. Source: Alexandria, functional PBE.

POSCAR file:
```
Ta3P
1.0
-0.3730 0.0871 -5.2155
-4.3688 -1.1549 2.6320
3.1608 3.5552 2.1721
Ta P
3 1
direct
0.5000 0.5000 0.0000 Ta
0.5000 0.0000 0.5000 Ta
0.0000 0.5000 0.5000 Ta
0.0000 0.0000 0.0000 P
```

* DFT total energy: -0.3757 Ha/atom
* SG: R-3m



Crystalline Ta3P at its relaxed geometry. Source: Alexandria, functional PBE.

POSCAR file:
```
Ta3P
1.0
5.0430 0.0000 0.0000
2.5215 7.2280 0.0000
2.5215 0.0000 7.2280
Ta P
12 4
direct
0.1314 0.3744 0.3412 Ta
0.9736 0.9715 0.5978 Ta
0.6538 0.1857 0.9867 Ta
0.5429 0.0285 0.4022 Ta
0.8263 0.8143 0.0133 Ta
0.3595 0.9867 0.8143 Ta
0.4286 0.5978 0.0285 Ta
0.5274 0.3412 0.6256 Ta
0.0549 0.4022 0.9715 Ta
0.4942 0.6588 0.3744 Ta
0.1604 0.0133 0.1857 Ta
0.8470 0.6256 0.6588 Ta
0.9836 0.7362 0.3207 P
0.6956 0.3207 0.2638 P
0.0405 0.2638 0.6793 P
0.2802 0.6793 0.7362 P
```

* DFT total energy: -0.3977 Ha/atom
* SG: I-4